No. 1
{"formula": "TlV2Co2", "functional": "PBE", "state": "relaxed", "lattice": [[-1.825, 4.457, 5.443], [-6.259, 1.538, -3.358], [-1.209, -2.083, 1.300]], "species": ["V", "V", "V", "V", "Tl", "Tl", "Co", "Co", "Co", "Co"], "frac_coords": [[0.854, 0.646, 0.000], [0.646, 0.146, 0.000], [0.146, 0.354, 0.000], [0.354, 0.854, 0.000], [0.000, 0.000, 0.000], [0.500, 0.500, 0.000], [0.366, 0.134, 0.500], [0.866, 0.366, 0.500], [0.134, 0.634, 0.500], [0.634, 0.866, 0.500]], "volume_a3_per_atom": 14.46, "rho_g_cm3": 9.74, "energy_ev_per_atom": -6.66, "n_ef_per_ev_atom": 0.99}


No. 2
{"formula": "Tl3VCo", "functional": "PBE", "state": "relaxed", "lattice": [[5.236, 0.000, 0.000], [0.000, 5.236, 0.000], [0.000, 0.000, 5.236]], "species": ["V", "Tl", "Tl", "Tl", "Co"], "frac_coords": [[0.000, 0.000, 0.000], [0.000, 0.500, 0.000], [0.500, 0.000, 0.000], [0.000, 0.000, 0.500], [0.500, 0.500, 0.500]], "volume_a3_per_atom": 28.71, "rho_g_cm3": 8.36, "energy_ev_per_atom": -3.47, "n_ef_per_ev_atom": 1.22}


No. 3
{"formula": "TlV2Co2", "functional": "PBE", "state": "relaxed", "lattice": [[-4.502, 4.389, -3.204], [-3.512, -5.525, -2.633], [-1.642, -0.034, 2.261]], "species": ["Co", "Co", "Co", "Co", "V", "V", "V", "V", "Tl", "Tl"], "frac_coords": [[0.874, 0.626, 0.000], [0.126, 0.374, 0.000], [0.626, 0.126, 0.000], [0.374, 0.874, 0.000], [0.161, 0.661, 0.500], [0.661, 0.839, 0.500], [0.339, 0.161, 0.500], [0.839, 0.339, 0.500], [0.000, 0.000, 0.000], [0.500, 0.500, 0.000]], "volume_a3_per_atom": 13.92, "rho_g_cm3": 10.12, "energy_ev_per_atom": -6.81, "n_ef_per_ev_atom": 1.01}


No. 4
{"formula": "TlV3Co", "functional": "PBE", "state": "relaxed", "lattice": [[4.381, 0.000, 0.000], [0.000, 4.381, 0.000], [0.000, 0.000, 4.381]], "species": ["V", "V", "V", "Tl", "Co"], "frac_coords": [[0.000, 0.000, 0.500], [0.000, 0.500, 0.000], [0.500, 0.000, 0.000], [0.500, 0.500, 0.500], [0.000, 0.000, 0.000]], "volume_a3_per_atom": 16.82, "rho_g_cm3": 8.22, "energy_ev_per_atom": -6.70, "n_ef_per_ev_atom": 1.54}


No. 5
{"formula": "TlVCo", "functional": "PBE", "state": "relaxed", "lattice": [[3.664, 0.000, -0.007], [0.000, 3.019, 0.000], [-1.823, 0.000, 9.803]], "species": ["Co", "Co", "V", "V", "Tl", "Tl"], "frac_coords": [[0.787, 0.000, 0.578], [0.213, 0.000, 0.422], [0.319, 0.500, 0.626], [0.681, 0.500, 0.374], [0.047, 0.000, 0.853], [0.953, 0.000, 0.147]], "volume_a3_per_atom": 18.07, "rho_g_cm3": 9.63, "energy_ev_per_atom": -5.97, "n_ef_per_ev_atom": 0.99}


No. 6
{"formula": "TlVCo", "functional": "PBE", "state": "relaxed", "lattice": [[7.916, 0.000, -0.006], [0.000, 3.069, 0.000], [-1.431, 0.000, 8.391]], "species": ["Co", "Co", "Co", "Co", "Tl", "Tl", "Tl", "Tl", "V", "V", "V", "V"], "frac_coords": [[0.443, 0.500, 0.630], [0.557, 0.000, 0.870], [0.557, 0.500, 0.370], [0.443, 0.000, 0.130], [0.870, 0.500, 0.851], [0.870, 0.000, 0.351], [0.130, 0.500, 0.149], [0.130, 0.000, 0.649], [0.658, 0.500, 0.104], [0.342, 0.000, 0.396], [0.342, 0.500, 0.896], [0.658, 0.000, 0.604]], "volume_a3_per_atom": 16.99, "rho_g_cm3": 10.24, "energy_ev_per_atom": -5.90, "n_ef_per_ev_atom": 0.94}


No. 7
{"formula": "TlVCo2", "functional": "PBE", "state": "relaxed", "lattice": [[2.736, -3.104, 1.144], [0.909, -0.639, 4.146], [-1.451, -3.510, 1.999]], "species": ["V", "Co", "Co", "Tl"], "frac_coords": [[0.000, 0.000, 0.000], [0.250, 0.250, 0.250], [0.750, 0.750, 0.750], [0.500, 0.500, 0.500]], "volume_a3_per_atom": 13.98, "rho_g_cm3": 11.08, "energy_ev_per_atom": -6.13, "n_ef_per_ev_atom": 0.48}


No. 8
{"formula": "TlVCo", "functional": "PBE", "state": "relaxed", "lattice": [[3.494, -0.003, 0.002], [0.906, 5.115, 0.006], [0.080, 1.837, 5.685]], "species": ["V", "V", "Tl", "Tl", "Co", "Co"], "frac_coords": [[0.329, 0.310, 0.426], [0.671, 0.690, 0.574], [0.283, 0.287, 0.930], [0.717, 0.713, 0.070], [0.155, 0.900, 0.356], [0.845, 0.100, 0.644]], "volume_a3_per_atom": 16.93, "rho_g_cm3": 10.27, "energy_ev_per_atom": -5.85, "n_ef_per_ev_atom": 0.74}


No. 9
{"formula": "Tl3VCo", "functional": "PBE", "state": "relaxed", "lattice": [[5.024, 0.000, 0.000], [0.000, 5.024, 0.000], [0.000, 0.000, 5.024]], "species": ["Tl", "Tl", "Tl", "V", "Co"], "frac_coords": [[0.000, 0.500, 0.000], [0.000, 0.000, 0.500], [0.500, 0.000, 0.000], [0.500, 0.500, 0.500], [0.000, 0.000, 0.000]], "volume_a3_per_atom": 25.36, "rho_g_cm3": 9.47, "energy_ev_per_atom": -3.90, "n_ef_per_ev_atom": 1.56}


No. 10
{"formula": "TlV2Co2", "functional": "PBE", "state": "relaxed", "lattice": [[3.693, 0.000, 0.000], [0.000, 3.693, 0.000], [1.847, 1.847, 5.547]], "species": ["Tl", "Co", "Co", "V", "V"], "frac_coords": [[0.000, 0.000, 0.000], [0.750, 0.250, 0.500], [0.250, 0.750, 0.500], [0.378, 0.378, 0.244], [0.622, 0.622, 0.756]], "volume_a3_per_atom": 15.13, "rho_g_cm3": 9.31, "energy_ev_per_atom": -6.56, "n_ef_per_ev_atom": 1.30}


No. 11
{"formula": "TlVCo", "functional": "PBE", "state": "relaxed", "lattice": [[-0.482, -2.426, -1.691], [3.166, 0.643, -1.829], [6.144, -6.222, 4.681]], "species": ["Co", "Co", "V", "V", "Tl", "Tl"], "frac_coords": [[0.539, 0.293, 0.420], [0.461, 0.707, 0.580], [0.058, 0.806, 0.373], [0.942, 0.194, 0.627], [0.331, 0.722, 0.861], [0.669, 0.278, 0.139]], "volume_a3_per_atom": 17.88, "rho_g_cm3": 9.73, "energy_ev_per_atom": -5.96, "n_ef_per_ev_atom": 0.89}


No. 12
{"formula": "TlVCo", "functional": "PBE", "state": "relaxed", "lattice": [[-3.593, 0.721, -3.926], [-2.413, -1.334, 1.964], [-0.247, 4.891, 3.020]], "species": ["V", "V", "Co", "Co", "Tl", "Tl"], "frac_coords": [[0.653, 0.750, 0.416], [0.347, 0.250, 0.584], [0.105, 0.750, 0.388], [0.895, 0.250, 0.612], [0.738, 0.750, 0.941], [0.262, 0.250, 0.059]], "volume_a3_per_atom": 16.92, "rho_g_cm3": 10.28, "energy_ev_per_atom": -5.87, "n_ef_per_ev_atom": 0.87}


No. 13
{"formula": "TlVCo", "functional": "PBE", "state": "relaxed", "lattice": [[-1.602, 1.063, -2.250], [1.868, -1.255, -1.923], [-6.002, -8.983, 0.030]], "species": ["Co", "Co", "Tl", "Tl", "V", "V"], "frac_coords": [[0.000, 0.000, 0.617], [0.500, 0.500, 0.117], [0.000, 0.000, 0.930], [0.500, 0.500, 0.430], [0.500, 0.500, 0.728], [0.000, 0.000, 0.228]], "volume_a3_per_atom": 15.78, "rho_g_cm3": 11.03, "energy_ev_per_atom": -5.86, "n_ef_per_ev_atom": 1.14}


No. 14
{"formula": "TlV2ZnCo", "functional": "PBE", "state": "relaxed", "lattice": [[-2.291, -1.696, 3.299], [1.168, -4.010, -1.250], [3.907, 0.252, 2.843]], "species": ["Co", "V", "V", "Tl", "Zn"], "frac_coords": [[0.000, 0.000, 0.000], [0.000, 0.500, 0.000], [0.500, 0.000, 0.000], [0.000, 0.000, 0.500], [0.500, 0.500, 0.500]], "volume_a3_per_atom": 18.40, "rho_g_cm3": 7.77, "energy_ev_per_atom": -4.94, "n_ef_per_ev_atom": 1.39}


No. 15
{"formula": "TlCoW2", "functional": "PBE", "state": "relaxed", "lattice": [[4.886, -0.003, -0.010], [4.053, 2.728, -0.010], [0.963, 0.294, 4.960]], "species": ["Tl", "W", "W", "Co"], "frac_coords": [[0.240, 0.240, 0.267], [0.009, 0.009, 0.959], [0.766, 0.766, 0.750], [0.485, 0.485, 0.524]], "volume_a3_per_atom": 16.55, "rho_g_cm3": 15.83, "energy_ev_per_atom": -8.09, "n_ef_per_ev_atom": 0.88}


No. 16
{"formula": "TlCoW2", "functional": "PBE", "state": "relaxed", "lattice": [[-2.734, 3.228, -1.591], [-4.014, -1.103, -1.759], [-3.800, 1.038, 2.216]], "species": ["Co", "W", "W", "Tl"], "frac_coords": [[0.500, 0.500, 0.500], [0.250, 0.250, 0.250], [0.000, 0.000, 0.000], [0.750, 0.750, 0.750]], "volume_a3_per_atom": 16.32, "rho_g_cm3": 16.05, "energy_ev_per_atom": -8.04, "n_ef_per_ev_atom": 0.74}


No. 17
{"formula": "TlCoW2", "functional": "PBE", "state": "relaxed", "lattice": [[3.750, 0.000, 0.000], [0.000, 3.750, 0.000], [1.875, 1.875, 9.908]], "species": ["Co", "Co", "W", "W", "W", "W", "Tl", "Tl"], "frac_coords": [[0.250, 0.750, 0.500], [0.500, 0.500, 0.000], [0.617, 0.125, 0.250], [0.875, 0.867, 0.750], [0.375, 0.383, 0.750], [0.133, 0.625, 0.250], [0.750, 0.250, 0.500], [0.000, 0.000, 0.000]], "volume_a3_per_atom": 17.41, "rho_g_cm3": 15.04, "energy_ev_per_atom": -7.75, "n_ef_per_ev_atom": 0.92}


No. 18
{"formula": "TlCoW2", "functional": "PBE", "state": "relaxed", "lattice": [[5.086, 0.040, -0.057], [1.892, 4.721, 0.057], [-3.021, -3.067, 2.709]], "species": ["W", "W", "Co", "Tl"], "frac_coords": [[0.986, 0.986, 0.000], [0.743, 0.243, 0.500], [0.508, 0.508, 0.000], [0.263, 0.763, 0.500]], "volume_a3_per_atom": 16.31, "rho_g_cm3": 16.06, "energy_ev_per_atom": -8.09, "n_ef_per_ev_atom": 1.11}


No. 19
{"formula": "TlCoW2", "functional": "PBE", "state": "relaxed", "lattice": [[3.477, 0.000, 0.000], [0.000, 4.169, 0.000], [0.000, 0.000, 4.465]], "species": ["Co", "W", "W", "Tl"], "frac_coords": [[0.500, 0.000, 0.500], [0.500, 0.500, 0.000], [0.000, 0.000, 0.000], [0.000, 0.500, 0.500]], "volume_a3_per_atom": 16.18, "rho_g_cm3": 16.19, "energy_ev_per_atom": -8.12, "n_ef_per_ev_atom": 1.24}


No. 20
{"formula": "TlCoW2", "functional": "PBE", "state": "relaxed", "lattice": [[2.841, 0.009, 0.000], [-0.010, 2.841, 0.000], [0.000, 0.000, 8.046]], "species": ["Co", "Tl", "W", "W"], "frac_coords": [[0.500, 0.500, 0.250], [0.500, 0.500, 0.750], [0.000, 0.000, 0.459], [0.000, 0.000, 0.041]], "volume_a3_per_atom": 16.23, "rho_g_cm3": 16.13, "energy_ev_per_atom": -8.20, "n_ef_per_ev_atom": 0.36}


No. 21
{"formula": "Tl2Co2W", "functional": "PBE", "state": "relaxed", "lattice": [[1.578, -4.298, -2.148], [3.422, -0.384, 3.704], [-4.884, 0.463, 1.230]], "species": ["Co", "Co", "W", "Tl", "Tl"], "frac_coords": [[0.670, 0.670, 0.000], [0.330, 0.330, 0.000], [0.000, 0.000, 0.000], [0.250, 0.750, 0.500], [0.750, 0.250, 0.500]], "volume_a3_per_atom": 18.60, "rho_g_cm3": 12.68, "energy_ev_per_atom": -5.24, "n_ef_per_ev_atom": 1.13}


No. 22
{"formula": "TlCoW2", "functional": "PBE", "state": "relaxed", "lattice": [[4.135, 0.000, 0.000], [0.000, 2.829, -0.043], [0.000, 1.252, 5.717]], "species": ["W", "W", "Co", "Tl"], "frac_coords": [[0.000, 0.985, 0.031], [0.500, 0.240, 0.271], [0.000, 0.698, 0.454], [0.500, 0.577, 0.744]], "volume_a3_per_atom": 16.78, "rho_g_cm3": 15.61, "energy_ev_per_atom": -8.18, "n_ef_per_ev_atom": 1.05}


No. 23
{"formula": "Tl2CoW2", "functional": "PBE", "state": "relaxed", "lattice": [[3.637, 0.000, 0.000], [0.000, 3.637, 0.000], [1.819, 1.819, 7.696]], "species": ["Tl", "Tl", "Co", "W", "W"], "frac_coords": [[0.595, 0.595, 0.809], [0.405, 0.405, 0.191], [0.000, 0.000, 0.000], [0.250, 0.750, 0.500], [0.750, 0.250, 0.500]], "volume_a3_per_atom": 20.36, "rho_g_cm3": 13.62, "energy_ev_per_atom": -6.36, "n_ef_per_ev_atom": 1.37}


No. 24
{"formula": "TlCoW2", "functional": "PBE", "state": "relaxed", "lattice": [[5.071, 0.061, 0.000], [-2.277, 4.532, 0.000], [0.000, 0.000, 2.828]], "species": ["Tl", "Co", "W", "W"], "frac_coords": [[0.000, 0.500, 0.500], [0.500, 0.000, 0.500], [0.500, 0.500, 0.000], [0.000, 0.000, 0.000]], "volume_a3_per_atom": 16.35, "rho_g_cm3": 16.03, "energy_ev_per_atom": -7.98, "n_ef_per_ev_atom": 0.85}


No. 25
{"formula": "Tl2CoW2", "functional": "PBE", "state": "relaxed", "lattice": [[-4.842, -6.058, -2.855], [3.388, -5.255, 5.405], [-2.064, 0.713, 1.987]], "species": ["W", "W", "W", "W", "Tl", "Tl", "Tl", "Tl", "Co", "Co"], "frac_coords": [[0.107, 0.607, 0.500], [0.893, 0.393, 0.500], [0.607, 0.893, 0.500], [0.393, 0.107, 0.500], [0.188, 0.312, 0.000], [0.812, 0.688, 0.000], [0.312, 0.812, 0.000], [0.688, 0.188, 0.000], [0.000, 0.000, 0.000], [0.500, 0.500, 0.000]], "volume_a3_per_atom": 20.16, "rho_g_cm3": 13.76, "energy_ev_per_atom": -6.20, "n_ef_per_ev_atom": 1.40}


No. 26
{"formula": "TlCoW2", "functional": "PBE", "state": "relaxed", "lattice": [[-5.276, 0.776, 0.243], [-4.180, 0.529, 3.278], [-1.141, 4.128, 0.748]], "species": ["W", "W", "Tl", "Co"], "frac_coords": [[0.487, 0.487, 0.513], [0.013, 0.013, 0.987], [0.250, 0.250, 0.250], [0.750, 0.750, 0.750]], "volume_a3_per_atom": 16.20, "rho_g_cm3": 16.17, "energy_ev_per_atom": -8.19, "n_ef_per_ev_atom": 0.69}


No. 27
{"formula": "TlCoW2", "functional": "PBE", "state": "relaxed", "lattice": [[-3.888, 0.753, -0.871], [-0.779, -1.261, 2.390], [-0.284, 4.022, 4.747]], "species": ["Tl", "W", "W", "Co"], "frac_coords": [[0.500, 0.750, 0.750], [0.000, 0.010, 0.041], [0.000, 0.490, 0.459], [0.500, 0.250, 0.250]], "volume_a3_per_atom": 16.49, "rho_g_cm3": 15.88, "energy_ev_per_atom": -8.14, "n_ef_per_ev_atom": 0.68}


No. 28
{"formula": "TlCoW2", "functional": "PBE", "state": "relaxed", "lattice": [[-2.113, -0.335, 1.844], [0.301, -2.514, -1.251], [5.630, -2.324, 6.028]], "species": ["W", "W", "Co", "Tl"], "frac_coords": [[0.000, 0.000, 0.022], [0.500, 0.500, 0.273], [0.000, 0.000, 0.477], [0.500, 0.500, 0.728]], "volume_a3_per_atom": 16.48, "rho_g_cm3": 15.89, "energy_ev_per_atom": -8.30, "n_ef_per_ev_atom": 0.63}